Material: Tb2MnCrO6
Method: DFT, PBE with a Hubbard U
State: relaxed

```
Tb2MnCrO6
1.0
5.624 0.000 0.000
0.000 5.291 0.056
0.000 5.294 7.651
O Mn Tb Cr
12 2 4 2
direct
0.698 0.248 0.444
0.697 0.640 0.054
0.303 0.360 0.946
0.802 0.248 0.944
0.803 0.640 0.554
0.197 0.360 0.446
0.302 0.752 0.556
0.464 0.138 0.753
0.198 0.752 0.056
0.036 0.138 0.253
0.964 0.862 0.747
0.536 0.862 0.247
0.500 0.000 0.000
0.000 0.000 0.500
0.430 0.271 0.251
0.070 0.271 0.751
0.570 0.729 0.749
0.930 0.729 0.249
0.500 0.500 0.500
0.000 0.500 0.000
```

Computed properties:
Symmetry = No. 14
Electronic total energy = -7.99 eV/atom